No. 1
6
Lattice="0.907 -4.190 3.350 3.224 -2.286 -3.732 3.827 -0.290 7.443" Properties=species:S:1:pos:R:3 comment="PBE DyErTe, optimized geometry" dft_energy_ev_per_atom=-4.8689 formation_energy_uncorrected_kj_per_mol_atoms=-74 m_tot_mub_per_fu=0.0 spacegroup=Cmcm relative_energy_mev_per_atom=69 pbc="T T T"
Dy 2.689 -1.673 -0.611
Dy 5.269 -5.094 7.673
Er 1.529 -2.626 2.930
Er 6.429 -4.141 4.132
Te 3.409 -3.854 5.306
Te 4.549 -2.913 1.756

No. 2
8
Lattice="-3.235 -2.491 -5.859 4.737 -5.333 -0.348 -0.609 -5.204 -1.803" Properties=species:S:1:pos:R:3 comment="PBE NbPd2C, optimized geometry" dft_energy_ev_per_atom=-7.0377 m_tot_mub_per_fu=0.0 spacegroup=I-42d ef_ev_per_atom=0.382 pbc="T T T"
Nb 0.000 0.000 0.000
Nb -1.547 -5.804 -5.383
C 0.751 -3.912 -3.103
C 2.439 -7.225 -2.627
Pd 0.619 -7.415 -3.718
Pd 2.054 -5.216 -2.035
Pd -1.232 -3.255 -3.522
Pd 0.344 -10.173 -6.746

No. 3
5
Lattice="-2.956 -1.599 -5.408 3.836 -5.046 -0.605 -2.614 -2.237 2.090" Properties=species:S:1:pos:R:3 comment="PBE LaTe2SeN, optimized geometry" dft_energy_ev_per_atom=-4.1486 formation_energy_uncorrected_kj_per_mol_atoms=44 m_tot_mub_per_fu=0.1 spacegroup=P4/mmm relative_energy_mev_per_atom=371 pbc="T T T"
Te -1.478 -0.799 -2.704
Te 1.918 -2.523 -0.302
La 0.000 0.000 0.000
N -1.307 -1.119 1.045
Se -0.867 -4.441 -1.961

No. 4
4
Lattice="3.190 0.000 7.404 -1.595 2.763 7.404 -1.595 -2.763 7.404" Properties=species:S:1:pos:R:3 comment="PBE CsCCl2, optimized geometry" dft_energy_ev_per_atom=-2.9501 formation_energy_uncorrected_kj_per_mol_atoms=48 m_tot_mub_per_fu=1.0 spacegroup=R-3m relative_energy_mev_per_atom=0 pbc="T T T"
C 0.000 0.000 0.000
Cs 0.000 0.000 11.106
Cl 0.000 0.000 20.052
Cl 0.000 0.000 2.161

No. 5
4
Lattice="-3.729 0.214 -0.632 0.351 -5.653 -3.981 -0.344 -5.472 0.178" Properties=species:S:1:pos:R:3 comment="PBE Zn2SbCl, optimized geometry" dft_energy_ev_per_atom=-2.3723 formation_energy_uncorrected_kj_per_mol_atoms=-23 m_tot_mub_per_fu=0.0 spacegroup=Pmmm relative_energy_mev_per_atom=105 pbc="T T T"
Zn -1.689 -2.720 -2.307
Zn 0.000 0.000 0.000
Cl -1.861 -5.456 -2.218
Sb -0.172 -2.736 0.089

No. 6
16
Lattice="7.291 -0.043 -0.187 -0.048 7.291 -0.187 -3.665 -3.667 5.313" Properties=species:S:1:pos:R:3 comment="PBE Ba2PmTaN4, optimized geometry" dft_energy_ev_per_atom=-7.4792 formation_energy_uncorrected_kj_per_mol_atoms=-73 m_tot_mub_per_fu=0.0 spacegroup=Imma pbc="T T T"
Pm -0.024 3.645 -0.094
Pm 5.434 1.768 2.376
N 2.015 1.911 4.748
N -2.285 2.041 5.019
N 1.562 1.669 0.190
N 0.205 3.217 2.362
N 5.863 1.539 -0.080
N 3.372 0.363 2.576
N 0.121 0.226 2.279
N 3.456 3.354 2.660
Ba 3.645 -0.022 -0.094
Ba -0.044 -0.044 5.126
Ba 1.813 -1.855 2.563
Ba -1.832 -1.834 2.656
Ta 1.789 1.790 2.469
Ta 3.626 -3.711 5.126